A) 12
Lattice="-4.0760 -4.6366 4.6628 6.0254 -0.4366 4.8329 -3.0985 7.2690 4.5196" Properties=species:S:1:pos:R:3 comment="AgHgI4 PBE-GGA relaxed" m_tot_mub_per_fu=0.0 pbc="T T T"
I 1.8203 2.5884 7.6923
I -2.6827 5.3304 6.4826
I -3.4561 0.7493 7.0330
Hg -4.3619 3.1335 5.7211
I -0.1379 -0.8950 9.0723
I -0.5245 1.9491 4.2331
I 3.2520 -0.7402 4.8600
Ag 0.0000 0.0000 0.0000
I -1.0781 2.9927 11.3424
I -1.7893 -3.1911 5.3456
Hg 2.2381 1.5990 3.5464
Ag -1.5492 3.6345 2.2598

---

B) 12
Lattice="-0.5554 -6.6533 0.7305 6.2407 0.6070 3.0163 -7.5624 4.4576 7.6031" Properties=species:S:1:pos:R:3 comment="AgHgI4 PBE-GGA relaxed" m_tot_mub_per_fu=0.0 pbc="T T T"
Ag -4.1896 -0.4322 8.3158
I 2.6638 -2.0262 5.9132
I -6.1328 -2.4388 8.3366
I 0.9060 -3.3262 1.9772
Hg -0.1778 3.0114 8.2263
I -4.5409 0.4375 5.4367
I -2.7832 1.7375 9.3727
Hg -1.6994 -4.6001 3.1236
I -0.0550 0.3260 4.2030
I -1.8222 -1.9147 7.1469
Ag 2.3124 -1.1565 3.0341
I 4.2556 0.8501 3.0133

---

Ordering by calculated energy gives the sequence A), B), with the first entry being the most stable.